DFT (GGA-PBE) results for an optimized crystal structure of Hf2TaTl.

The structure belongs to space group R-3m (No. 166, hexagonal axes); the cell edges are 3.2105, 3.2105 and 29.5214 Å and the angles 90.00°, 90.00° and 120.00°. Symmetry generates all atoms from Hf at (0.0000, 0.0000, 0.2456), Ta at (0.0000, 0.0000, 0.5000) and Tl at (0.0000, 0.0000, 0.0000).

***

DFT (GGA-PBE) results for an optimized crystal structure of Hf2TaTl.

The structure belongs to space group P4/mmm (No. 123); the cell edges are 4.576, 4.576 and 3.985 Å and the angles 90.00°, 90.00° and 90.00°. Symmetry generates all atoms from Hf at (0.000, 0.500, 0.000), Ta at (0.000, 0.000, 0.500) and Tl at (0.500, 0.500, 0.500).

***

DFT (GGA-PBE) results for an optimized crystal structure of Hf2TaTl.

The structure belongs to space group P4/mmm (No. 123); the cell edges are 3.528, 3.528 and 6.867 Å and the angles 90.00°, 90.00° and 90.00°. Symmetry generates all atoms from Hf at (0.000, 0.000, 0.229), Ta at (0.500, 0.500, 0.000) and Tl at (0.500, 0.500, 0.500).

***

no.,electronic total energy (eV per atom),energy relative to the elements (meV per atom),spin magnetization (μB per formula unit)
1,-8.393,138,0.00
2,-8.389,143,0.00
3,-8.500,32,0.00